No. 1
Density functional theory data (PBE) for an optimized crystal structure of Al2InFe2.

Results
Formation enthalpy at 0 K   -18 meV/atom
E above lowest polymorph   0 meV per atom

```
data_Al2InFe2
_space_group_name_H-M_alt 'P 4/m b m'
_space_group_IT_number 127
_space_group_name_Hall '-P 4 2ab'
_cell_length_a 6.8468
_cell_length_b 6.8468
_cell_length_c 3.1602
_cell_angle_alpha 90.00
_cell_angle_beta 90.00
_cell_angle_gamma 90.00
loop_
_atom_site_label
_atom_site_fract_x
_atom_site_fract_y
_atom_site_fract_z
Al1 0.1439 0.3561 0.0000
In1 0.0000 0.0000 0.5000
Fe1 0.1446 0.6446 0.5000
```

No. 2
Density functional theory data (PBE) for an optimized crystal structure of TaNi4Rh2.

Results
Formation enthalpy at 0 K   -69 meV/atom

```
data_TaNi4Rh2
_space_group_name_H-M_alt 'C m c e'
_space_group_IT_number 64
_space_group_name_Hall '-C 2ac 2'
_cell_length_a 8.4570
_cell_length_b 4.8295
_cell_length_c 8.9369
_cell_angle_alpha 90.00
_cell_angle_beta 90.00
_cell_angle_gamma 90.00
loop_
_atom_site_label
_atom_site_fract_x
_atom_site_fract_y
_atom_site_fract_z
Ta1 0.0000 0.0000 0.0000
Ni1 0.0000 0.0091 0.2766
Ni2 0.2500 0.2445 0.7500
Rh1 0.1780 0.0000 0.5000
```

No. 3
Density functional theory data (PBE) for an optimized crystal structure of TcBiF2.

Results
Energy relative to the elements, uncorrected   -0.372 eV per atom
E above lowest polymorph   352 meV per atom

```
data_TcBiF2
_space_group_name_H-M_alt 'F m -3 m'
_space_group_IT_number 225
_space_group_name_Hall '-F 4 2 3'
_cell_length_a 6.3367
_cell_length_b 6.3367
_cell_length_c 6.3367
_cell_angle_alpha 90.00
_cell_angle_beta 90.00
_cell_angle_gamma 90.00
loop_
_atom_site_label
_atom_site_fract_x
_atom_site_fract_y
_atom_site_fract_z
Tc1 0.0000 0.0000 0.0000
Bi1 0.0000 0.0000 0.5000
F1 0.2500 0.2500 0.2500
```

| no. | calculated volume (Å³/f.u.) |
| --- | --- |
| 1 | 74.1 |
| 2 | 91.3 |
| 3 | 63.6 |